## CaScTe2 (PBEsol)

Data for a relaxed structure of CaScTe2.

The structure in extended XYZ format:
```
4
Lattice="4.220 0.000 0.000 2.110 3.654 0.000 2.110 1.218 7.079" Properties=species:S:1:pos:R:3 pbc="T T T"
Te 6.329 3.654 5.437
Te 2.110 1.218 1.641
Sc 0.000 0.000 0.000
Ca 4.220 2.436 3.539
```

Results
Total magnetic moment = 0.00 μB/atom
Raw formation energy = -5.54 eV/f.u.
Symmetry = R-3m, No. 166
Offset from the most stable computed form = 0.000 eV per atom
Energy = -21.33 eV for the cell shown